{
  "formula": "LaScTe",
  "functional": "PBE",
  "state": "optimized geometry",
  "relative_energy_ev_per_atom": 1.037,
  "volume_a3_per_atom": 35.6,
  "magnetic_moment_mub_per_fu": 2.36,
  "dft_energy_ev_per_atom": -4.72,
  "cell": [[-0.6811, 2.6877, -4.5469], [-0.2359, -2.6186, -4.6314], [-4.6172, -0.3455, -2.6315]],
  "species": ["La", "Sc", "Te"],
  "fractional_positions": [[0.7500, 0.7500, 0.7500], [0.0000, 0.0000, 0.0000], [0.5000, 0.5000, 0.5000]]
}

{
  "formula": "PuZnBiO6",
  "functional": "PBE",
  "state": "optimized geometry",
  "volume_a3_per_atom": 14.2,
  "magnetic_moment_mub_per_fu": 1.03,
  "dft_energy_ev_per_atom": -7.24,
  "cell": [[5.3908, 0.0000, 0.0000], [-2.6954, 4.6686, 0.0000], [0.0000, 0.0000, 10.1592]],
  "species": ["Pu", "Pu", "Zn", "Zn", "Bi", "Bi", "O", "O", "O", "O", "O", "O", "O", "O", "O", "O", "O", "O"],
  "fractional_positions": [[0.6667, 0.3333, 0.2500], [0.3333, 0.6667, 0.7500], [0.3333, 0.6667, 0.2500], [0.6667, 0.3333, 0.7500], [0.0000, 0.0000, 0.0000], [0.0000, 0.0000, 0.5000], [0.6543, 0.6384, 0.1383], [0.9841, 0.3457, 0.1383], [0.3457, 0.9841, 0.6383], [0.0159, 0.6543, 0.8617], [0.3616, 0.3457, 0.3617], [0.9841, 0.6384, 0.3617], [0.6384, 0.9841, 0.8617], [0.6543, 0.0159, 0.3617], [0.0159, 0.3616, 0.6383], [0.3616, 0.0159, 0.1383], [0.6384, 0.6543, 0.6383], [0.3457, 0.3616, 0.8617]]
}

{
  "formula": "CaHf4Pd5",
  "functional": "PBE",
  "state": "optimized geometry",
  "volume_a3_per_atom": 19.3,
  "magnetic_moment_mub_per_fu": 0.00,
  "dft_energy_ev_per_atom": -7.44,
  "formation_energy_ev_per_atom": -0.66,
  "cell": [[3.3749, 0.0000, 0.0000], [0.0000, 3.3749, 0.0000], [0.0000, 0.0000, 16.9248]],
  "species": ["Ca", "Hf", "Hf", "Hf", "Hf", "Pd", "Pd", "Pd", "Pd", "Pd"],
  "fractional_positions": [[0.0000, 0.0000, 0.0000], [0.0000, 0.0000, 0.2107], [0.0000, 0.0000, 0.4049], [0.0000, 0.0000, 0.5951], [0.0000, 0.0000, 0.7893], [0.5000, 0.5000, 0.1278], [0.5000, 0.5000, 0.3090], [0.5000, 0.5000, 0.5000], [0.5000, 0.5000, 0.6910], [0.5000, 0.5000, 0.8722]]
}

{
  "formula": "KAg2Rh",
  "functional": "PBE",
  "state": "optimized geometry",
  "relative_energy_ev_per_atom": 0.012,
  "volume_a3_per_atom": 22.2,
  "magnetic_moment_mub_per_fu": 0.34,
  "dft_energy_ev_per_atom": -3.20,
  "formation_energy_ev_per_atom": 0.34,
  "cell": [[3.3849, 0.0044, 0.0000], [-0.0050, 3.3849, 0.0000], [0.0000, 0.0000, 7.7484]],
  "species": ["Ag", "Ag", "K", "Rh"],
  "fractional_positions": [[0.0000, 0.0000, 0.9330], [0.0000, 0.0000, 0.5670], [0.5000, 0.5000, 0.2500], [0.5000, 0.5000, 0.7500]]
}

{
  "formula": "Tm3AlSe6",
  "functional": "PBE",
  "state": "optimized geometry",
  "volume_a3_per_atom": 25.6,
  "magnetic_moment_mub_per_fu": 0.00,
  "dft_energy_ev_per_atom": -5.39,
  "cell": [[-6.1489, -0.7132, -2.5499], [0.3487, -8.7016, 1.5930], [-3.4767, 3.1866, 7.4923]],
  "species": ["Tm", "Tm", "Tm", "Tm", "Tm", "Tm", "Al", "Al", "Se", "Se", "Se", "Se", "Se", "Se", "Se", "Se", "Se", "Se", "Se", "Se"],
  "fractional_positions": [[0.4847, 0.9147, 0.7181], [0.9847, 0.7181, 0.9147], [0.3857, 0.4042, 0.5958], [0.8857, 0.5958, 0.4042], [0.9847, 0.0853, 0.2819], [0.4847, 0.2819, 0.0853], [0.0231, 0.2027, 0.7973], [0.5231, 0.7973, 0.2027], [0.1834, 0.6973, 0.6292], [0.6834, 0.6292, 0.6973], [0.2037, 0.4372, 0.8987], [0.7037, 0.8987, 0.4372], [0.1679, 0.0406, 0.9594], [0.6652, 0.2179, 0.7821], [0.1652, 0.7821, 0.2179], [0.6679, 0.9594, 0.0406], [0.2037, 0.1013, 0.5628], [0.7037, 0.5628, 0.1013], [0.1834, 0.3708, 0.3027], [0.6834, 0.3027, 0.3708]]
}

{
  "formula": "Ba2Nd2S5",
  "functional": "PBE",
  "state": "optimized geometry",
  "volume_a3_per_atom": 26.9,
  "magnetic_moment_mub_per_fu": 0.00,
  "dft_energy_ev_per_atom": -5.84,
  "cell": [[-6.2899, -2.6876, 4.0790], [4.2254, 0.3153, 6.7234], [-4.4498, 7.0296, -2.2300]],
  "species": ["Ba", "Ba", "Ba", "Ba", "Nd", "Nd", "Nd", "Nd", "S", "S", "S", "S", "S", "S", "S", "S", "S", "S"],
  "fractional_positions": [[0.0000, 0.1991, 0.3983], [0.5000, 0.6991, 0.3983], [0.0000, 0.8009, 0.6017], [0.5000, 0.3009, 0.6017], [0.6623, 0.8382, 0.0000], [0.3377, 0.1618, 0.0000], [0.1623, 0.6618, 0.0000], [0.8377, 0.3382, 0.0000], [0.0000, 0.0000, 0.0000], [0.5000, 0.5000, 0.0000], [0.8509, 0.7736, 0.2457], [0.1491, 0.4721, 0.2457], [0.3509, 0.9721, 0.2457], [0.6491, 0.2736, 0.2457], [0.1491, 0.2264, 0.7543], [0.8509, 0.5279, 0.7543], [0.6491, 0.0279, 0.7543], [0.3509, 0.7264, 0.7543]]
}

{
  "formula": "NpZn7Cu5",
  "functional": "PBE",
  "state": "optimized geometry",
  "volume_a3_per_atom": 14.8,
  "magnetic_moment_mub_per_fu": 4.73,
  "dft_energy_ev_per_atom": -3.29,
  "formation_energy_ev_per_atom": -0.03,
  "cell": [[-1.0846, 4.0975, 2.5313], [-5.9675, 2.4999, -1.7892], [-3.2553, -1.4083, 5.6992]],
  "species": ["Np", "Zn", "Zn", "Zn", "Zn", "Zn", "Zn", "Zn", "Cu", "Cu", "Cu", "Cu", "Cu"],
  "fractional_positions": [[0.0089, 0.9911, 0.9911], [0.6580, 0.3420, 0.3420], [0.3524, 0.6476, 0.6476], [0.9942, 0.3550, 0.6566], [0.9942, 0.6566, 0.3550], [0.2805, 0.2195, 0.2195], [0.5001, 0.7877, 0.2122], [0.5001, 0.2122, 0.7877], [0.4975, 0.0011, 0.5031], [0.9984, 0.0011, 0.5031], [0.4975, 0.5031, 0.0011], [0.9984, 0.5031, 0.0011], [0.7200, 0.7800, 0.7800]]
}

{
  "formula": "ZrAsRu2",
  "functional": "PBE",
  "state": "optimized geometry",
  "volume_a3_per_atom": 16.4,
  "magnetic_moment_mub_per_fu": 0.00,
  "dft_energy_ev_per_atom": -7.84,
  "formation_energy_ev_per_atom": 0.09,
  "cell": [[-3.4202, 1.5679, -8.1786], [-0.6255, 1.1205, -8.9106], [-2.4345, -1.1535, -8.5900]],
  "species": ["Ru", "Ru", "As", "Zr"],
  "fractional_positions": [[0.0017, 0.0017, 0.0017], [0.2571, 0.2571, 0.2571], [0.7420, 0.7420, 0.7420], [0.4992, 0.4992, 0.4992]]
}

{
  "formula": "Nd4ZrAs5",
  "functional": "PBE",
  "state": "optimized geometry",
  "volume_a3_per_atom": 25.9,
  "magnetic_moment_mub_per_fu": 0.00,
  "dft_energy_ev_per_atom": -6.49,
  "formation_energy_ev_per_atom": -1.41,
  "cell": [[-4.6814, 0.7590, -3.5722], [-2.1556, -6.0293, -3.3904], [-6.4017, -0.9968, 3.2433]],
  "species": ["Nd", "Nd", "Nd", "Nd", "Zr", "As", "As", "As", "As", "As"],
  "fractional_positions": [[0.4051, 0.3964, 0.7954], [0.8015, 0.7954, 0.6036], [0.2006, 0.2046, 0.3964], [0.5969, 0.6036, 0.2046], [0.0012, 0.0000, 0.0000], [0.9048, 0.3821, 0.8105], [0.2869, 0.8105, 0.6179], [0.7152, 0.1895, 0.3821], [0.0973, 0.6179, 0.1895], [0.5008, 0.0000, 0.0000]]
}

{
  "formula": "Cd2Ag2I7",
  "functional": "PBE",
  "state": "optimized geometry",
  "relative_energy_ev_per_atom": 0.023,
  "volume_a3_per_atom": 46.0,
  "magnetic_moment_mub_per_fu": 0.00,
  "dft_energy_ev_per_atom": -2.00,
  "cell": [[7.3657, 0.4906, 0.5608], [-0.2420, 8.3464, -0.2690], [-0.2420, -1.3769, 8.2365]],
  "species": ["Cd", "Cd", "Ag", "Ag", "I", "I", "I", "I", "I", "I", "I"],
  "fractional_positions": [[0.4543, 0.2725, 0.2725], [0.5457, 0.7275, 0.7275], [0.0000, 0.3794, 0.6206], [0.0000, 0.6206, 0.3794], [0.7052, 0.8387, 0.4635], [0.2948, 0.5365, 0.1613], [0.2948, 0.1613, 0.5365], [0.7052, 0.4635, 0.8387], [0.5000, 0.0000, 0.0000], [0.1607, 0.7005, 0.7005], [0.8393, 0.2995, 0.2995]]
}

{
  "formula": "ErTc3Ge3",
  "functional": "PBE",
  "state": "optimized geometry",
  "relative_energy_ev_per_atom": 0.725,
  "volume_a3_per_atom": 22.0,
  "magnetic_moment_mub_per_fu": 2.62,
  "dft_energy_ev_per_atom": -6.60,
  "formation_energy_ev_per_atom": 0.47,
  "cell": [[-1.8297, 2.3468, -6.0652], [-2.0054, -6.1972, -1.7929], [-6.1864, 1.3148, 2.3750]],
  "species": ["Ge", "Ge", "Ge", "Ge", "Ge", "Ge", "Tc", "Tc", "Tc", "Tc", "Tc", "Tc", "Er", "Er"],
  "fractional_positions": [[0.0000, 0.2500, 0.5000], [0.0000, 0.7500, 0.5000], [0.5000, 0.0000, 0.7500], [0.7500, 0.5000, 0.0000], [0.5000, 0.0000, 0.2500], [0.2500, 0.5000, 0.0000], [0.2500, 0.0000, 0.5000], [0.0000, 0.5000, 0.2500], [0.5000, 0.7500, 0.0000], [0.7500, 0.0000, 0.5000], [0.0000, 0.5000, 0.7500], [0.5000, 0.2500, 0.0000], [0.5000, 0.5000, 0.5000], [0.0000, 0.0000, 0.0000]]
}

{
  "formula": "CsK2RbI",
  "functional": "PBE",
  "state": "optimized geometry",
  "relative_energy_ev_per_atom": 0.024,
  "volume_a3_per_atom": 77.5,
  "magnetic_moment_mub_per_fu": 0.00,
  "dft_energy_ev_per_atom": -1.61,
  "cell": [[-3.0203, 2.0113, 6.2208], [-0.8190, -6.9150, 1.8381], [6.7276, 0.0657, 3.2451]],
  "species": ["Cs", "I", "K", "K", "Rb"],
  "fractional_positions": [[0.5000, 0.5000, 0.5000], [0.0000, 0.0000, 0.0000], [0.0000, 0.5000, 0.0000], [0.5000, 0.0000, 0.0000], [0.0000, 0.0000, 0.5000]]
}

{
  "formula": "SrCo2P",
  "functional": "PBE",
  "state": "optimized geometry",
  "volume_a3_per_atom": 16.7,
  "magnetic_moment_mub_per_fu": 2.59,
  "dft_energy_ev_per_atom": -4.74,
  "formation_energy_ev_per_atom": 0.58,
  "cell": [[-4.1505, 0.5183, 3.1291], [0.2137, -4.7532, -2.1558], [0.3390, -2.0400, 2.3148]],
  "species": ["Co", "Co", "P", "Sr"],
  "fractional_positions": [[0.0000, 0.0000, 0.0000], [0.5000, 0.5000, 0.0000], [0.5000, 0.0000, 0.5000], [0.0000, 0.5000, 0.5000]]
}

{
  "formula": "ZrSbAu",
  "functional": "PBE",
  "state": "optimized geometry",
  "volume_a3_per_atom": 22.8,
  "magnetic_moment_mub_per_fu": 0.00,
  "dft_energy_ev_per_atom": -5.75,
  "cell": [[-0.1335, 0.8760, 3.9752], [-2.2834, -3.3088, 0.6525], [6.8127, -4.4623, 1.2122]],
  "species": ["Zr", "Zr", "Sb", "Sb", "Au", "Au"],
  "fractional_positions": [[0.0000, 0.5000, 0.7426], [0.5000, 0.0000, 0.2574], [0.0000, 0.5000, 0.3698], [0.5000, 0.0000, 0.6302], [0.0000, 0.0000, 0.0000], [0.5000, 0.5000, 0.0000]]
}

{
  "formula": "CaMo2Pt",
  "functional": "PBE",
  "state": "optimized geometry",
  "relative_energy_ev_per_atom": 0.333,
  "volume_a3_per_atom": 18.0,
  "magnetic_moment_mub_per_fu": 0.00,
  "dft_energy_ev_per_atom": -7.04,
  "formation_energy_ev_per_atom": 0.38,
  "cell": [[-0.1260, -2.6293, -0.8563], [1.8973, 0.7632, -1.8655], [6.8624, -2.2959, 6.0399]],
  "species": ["Mo", "Mo", "Ca", "Pt"],
  "fractional_positions": [[0.0000, 0.0000, 0.0319], [0.0000, 0.0000, 0.4681], [0.5000, 0.5000, 0.7500], [0.5000, 0.5000, 0.2500]]
}

{
  "formula": "TbPm3NdHo",
  "functional": "PBE",
  "state": "optimized geometry",
  "volume_a3_per_atom": 33.5,
  "magnetic_moment_mub_per_fu": 0.00,
  "dft_energy_ev_per_atom": -4.69,
  "formation_energy_ev_per_atom": 0.02,
  "cell": [[5.1295, 0.0000, 0.0000], [0.0000, 7.9970, -1.1731], [0.0000, -3.3711, 10.3030]],
  "species": ["Tb", "Tb", "Pm", "Pm", "Pm", "Pm", "Pm", "Pm", "Nd", "Nd", "Ho", "Ho"],
  "fractional_positions": [[0.2500, 0.6250, 0.1253], [0.7500, 0.3750, 0.8747], [0.7500, 0.8730, 0.0422], [0.2500, 0.1270, 0.9578], [0.2500, 0.6274, 0.4578], [0.7500, 0.3726, 0.5422], [0.7500, 0.3774, 0.2081], [0.2500, 0.6226, 0.7919], [0.2500, 0.1232, 0.2924], [0.7500, 0.8768, 0.7076], [0.2500, 0.1249, 0.6248], [0.7500, 0.8751, 0.3752]]
}

{
  "formula": "Co2TcBr",
  "functional": "PBE",
  "state": "optimized geometry",
  "relative_energy_ev_per_atom": 0.506,
  "volume_a3_per_atom": 13.7,
  "magnetic_moment_mub_per_fu": 1.92,
  "dft_energy_ev_per_atom": -5.54,
  "cell": [[-0.2433, 2.8604, 3.5431], [-4.0814, 2.0136, -0.2862], [1.0706, -4.4316, -0.0931]],
  "species": ["Br", "Co", "Co", "Tc"],
  "fractional_positions": [[0.7500, 0.2500, 0.5000], [0.0000, 0.0000, 0.0000], [0.5000, 0.5000, 0.0000], [0.2500, 0.7500, 0.5000]]
}

{
  "formula": "Li2TlP",
  "functional": "PBE",
  "state": "optimized geometry",
  "relative_energy_ev_per_atom": 0.226,
  "volume_a3_per_atom": 19.9,
  "magnetic_moment_mub_per_fu": 0.00,
  "dft_energy_ev_per_atom": -3.01,
  "formation_energy_ev_per_atom": -0.11,
  "cell": [[-0.1043, 1.3007, 4.6525], [-2.9645, -2.2600, 3.0746], [1.8089, -2.9483, 3.3740]],
  "species": ["Li", "Li", "P", "Tl"],
  "fractional_positions": [[0.0000, 0.0000, 0.0000], [0.7500, 0.7500, 0.7500], [0.5000, 0.5000, 0.5000], [0.2500, 0.2500, 0.2500]]
}

{
  "formula": "Fe6H5",
  "functional": "PBE",
  "state": "optimized geometry",
  "volume_a3_per_atom": 7.1,
  "magnetic_moment_mub_per_fu": 13.03,
  "dft_energy_ev_per_atom": -6.13,
  "cell": [[-0.0563, 1.6027, 4.2839], [-1.8151, -2.5149, 3.3591], [3.8332, -1.2727, 2.1602]],
  "species": ["Fe", "Fe", "Fe", "Fe", "Fe", "Fe", "H", "H", "H", "H", "H"],
  "fractional_positions": [[0.7534, 0.0000, 0.7533], [0.2466, 0.0000, 0.2467], [0.4103, 0.6723, 0.7525], [0.9175, 0.6723, 0.2475], [0.5897, 0.3277, 0.2475], [0.0825, 0.3277, 0.7525], [0.5000, 0.0000, 0.5000], [0.3342, 0.3316, 0.0000], [0.6658, 0.6684, 0.0000], [0.1648, 0.6704, 0.5000], [0.8352, 0.3296, 0.5000]]
}

{
  "formula": "Zn3SiRh4",
  "functional": "PBE",
  "state": "optimized geometry",
  "volume_a3_per_atom": 13.5,
  "magnetic_moment_mub_per_fu": 0.00,
  "dft_energy_ev_per_atom": -5.42,
  "cell": [[-1.9339, -2.3336, -2.9412], [3.7256, -1.6029, -1.1779], [-1.5545, -2.5164, 6.0508]],
  "species": ["Zn", "Zn", "Zn", "Rh", "Rh", "Rh", "Rh", "Si"],
  "fractional_positions": [[0.0000, 0.5000, 0.0000], [0.7526, 0.2526, 0.5052], [0.2474, 0.7474, 0.4948], [0.3806, 0.3803, 0.7611], [0.6194, 0.6197, 0.2389], [0.1194, 0.1195, 0.2389], [0.8806, 0.8805, 0.7611], [0.5000, 0.0000, 0.0000]]
}

{
  "formula": "VOs2W",
  "functional": "PBE",
  "state": "optimized geometry",
  "relative_energy_ev_per_atom": 1.463,
  "volume_a3_per_atom": 21.8,
  "magnetic_moment_mub_per_fu": 0.00,
  "dft_energy_ev_per_atom": -9.73,
  "formation_energy_ev_per_atom": 1.40,
  "cell": [[5.5234, 0.0000, 0.0000], [0.0000, 5.5234, 0.0000], [2.7617, 2.7617, 5.7040]],
  "species": ["Os", "Os", "Os", "Os", "W", "W", "V", "V"],
  "fractional_positions": [[0.6115, 0.1250, 0.2500], [0.1385, 0.6250, 0.2500], [0.3750, 0.3885, 0.7500], [0.8750, 0.8615, 0.7500], [0.0000, 0.0000, 0.0000], [0.7500, 0.2500, 0.5000], [0.5000, 0.5000, 0.0000], [0.2500, 0.7500, 0.5000]]
}

{
  "formula": "Dy2TmAl",
  "functional": "PBE",
  "state": "optimized geometry",
  "relative_energy_ev_per_atom": 0.128,
  "volume_a3_per_atom": 28.4,
  "magnetic_moment_mub_per_fu": 0.71,
  "dft_energy_ev_per_atom": -4.43,
  "formation_energy_ev_per_atom": -0.07,
  "cell": [[-2.3694, 0.2688, 2.6486], [-0.0665, -2.4505, 2.5870], [5.9456, 4.8715, 7.2223]],
  "species": ["Dy", "Dy", "Tm", "Al"],
  "fractional_positions": [[0.0735, 0.0735, 0.7795], [0.2598, 0.2598, 0.2205], [0.5003, 0.5003, 0.4992], [0.6664, 0.6664, 0.0009]]
}

{
  "formula": "TaGaNi3",
  "functional": "PBE",
  "state": "optimized geometry",
  "relative_energy_ev_per_atom": 0.798,
  "volume_a3_per_atom": 15.2,
  "magnetic_moment_mub_per_fu": 0.00,
  "dft_energy_ev_per_atom": -5.73,
  "formation_energy_ev_per_atom": 0.71,
  "cell": [[-1.8524, -3.7240, 0.7850], [1.2985, 0.2022, 4.0235], [-3.5774, 2.0017, 1.0540]],
  "species": ["Ni", "Ni", "Ni", "Ga", "Ta"],
  "fractional_positions": [[0.0000, 0.5000, 0.0000], [0.0000, 0.0000, 0.5000], [0.5000, 0.0000, 0.0000], [0.0000, 0.0000, 0.0000], [0.5000, 0.5000, 0.5000]]
}

{
  "formula": "ThMgZn2Ag2",
  "functional": "PBE",
  "state": "optimized geometry",
  "volume_a3_per_atom": 20.6,
  "magnetic_moment_mub_per_fu": 0.00,
  "dft_energy_ev_per_atom": -3.05,
  "formation_energy_ev_per_atom": -0.17,
  "cell": [[-1.0965, -3.1800, -3.1021], [3.7100, -0.5452, 2.6222], [-3.7650, -3.2408, 4.6531]],
  "species": ["Th", "Mg", "Zn", "Zn", "Ag", "Ag"],
  "fractional_positions": [[0.0000, 0.0000, 0.0000], [0.0000, 0.0000, 0.5000], [0.3333, 0.6667, 0.2671], [0.6667, 0.3333, 0.7329], [0.3333, 0.6667, 0.7024], [0.6667, 0.3333, 0.2976]]
}